[1]
The following is a DFT calculation (GGA-PBE) of a relaxed Ba2ReSe crystal.

Computed properties:
space group = R3m, No. 160

Cell: 8.985 8.985 8.985 Å, 28.51 28.51 28.51°
Fractional positions:
Ba 0.042 0.042 0.042
Ba 0.208 0.208 0.208
Re 0.458 0.458 0.458
Se 0.792 0.792 0.792



[2]
The following is a DFT calculation (GGA-PBE) of a relaxed Ba2ReSe crystal.

Computed properties:
space group = R-3m, No. 166

Cell: 4.503 4.503 8.700 Å, 75.03 75.03 59.96°
Fractional positions:
Ba 0.996 0.996 0.011
Ba 0.504 0.504 0.489
Re 0.750 0.750 0.750
Se 0.250 0.250 0.250



[3]
The following is a DFT calculation (GGA-PBE) of a relaxed BaRe2Se crystal.

Computed properties:
space group = P2/m, No. 10

Cell: 5.001 3.920 5.270 Å, 84.03 90.00 90.00°
Fractional positions:
Ba 0.500 0.750 0.750
Re 0.000 0.020 0.124
Re 0.000 0.480 0.376
Se 0.500 0.250 0.250



Listing final energy for the structures above in their given order: -4.929; -4.772; -6.980 eV per atom.
Listing formation energy from raw total energies for the structures above in their given order: 0.06; 0.69; 2.38 eV per formula unit.